Record 1
Sr2BeCu | PBE-GGA | optimized geometry

Output
Total energy = -2.66 eV/atom
E_form = 138 meV/atom

a = 4.627 Å, b = 4.292 Å, c = 6.156 Å
α = 90.00°, β = 111.91°, γ = 90.00°
Fractional coordinates of all 4 atoms:
Sr1 0.000 0.000 0.000
Sr2 0.284 0.500 0.568
Be1 0.682 0.000 0.364
Cu1 0.606 0.500 0.208



Record 2
NaMg2Au | PBE-GGA | optimized geometry

Output
Total energy = -2.16 eV/atom
E_form = -209 meV/atom

a = 4.506 Å, b = 4.506 Å, c = 4.103 Å
α = 90.00°, β = 90.00°, γ = 90.00°
Fractional coordinates of all 4 atoms:
Na1 0.000 0.000 0.000
Mg1 0.000 0.500 0.500
Mg2 0.500 0.000 0.500
Au1 0.500 0.500 0.000



Record 3
MgW2C | PBE-GGA | optimized geometry

Output
Total energy = -7.91 eV/atom
E_form = 1270 meV/atom
Energy above the most stable polymorph in this dataset = 0.00 eV/f.u.

a = 6.858 Å, b = 6.858 Å, c = 6.858 Å
α = 134.90°, β = 134.90°, γ = 65.69°
Fractional coordinates of all 8 atoms:
Mg1 0.000 0.000 0.000
Mg2 0.750 0.250 0.500
W1 0.309 0.625 0.184
W2 0.375 0.559 0.684
W3 0.441 0.125 0.816
W4 0.875 0.691 0.316
C1 0.250 0.750 0.500
C2 0.500 0.500 0.000



Record 4
Ti6SiSb2 | PBE-GGA | optimized geometry

Output
Total energy = -7.36 eV/atom
ΔE_f (raw) = -0.581 eV per atom

a = 7.074 Å, b = 7.074 Å, c = 3.721 Å
α = 90.00°, β = 90.00°, γ = 120.00°
Fractional coordinates of all 9 atoms:
Ti1 0.000 0.236 0.000
Ti2 0.000 0.613 0.500
Ti3 0.236 0.000 0.000
Ti4 0.387 0.387 0.500
Ti5 0.613 0.000 0.500
Ti6 0.764 0.764 0.000
Si1 0.000 0.000 0.500
Sb1 0.333 0.667 0.000
Sb2 0.667 0.333 0.000



Record 5
CaAgP2 | PBE-GGA | optimized geometry

Output
Total energy = -4.00 eV/atom
E_form = -78 meV/atom

a = 4.782 Å, b = 4.782 Å, c = 4.782 Å
α = 60.00°, β = 60.00°, γ = 60.00°
Fractional coordinates of all 4 atoms:
Ca1 0.000 0.000 0.000
Ag1 0.500 0.500 0.500
P1 0.250 0.250 0.250
P2 0.750 0.750 0.750



Record 6
NaLa3Ir | PBE-GGA | optimized geometry

Output
Total energy = -5.27 eV/atom
E_form = -279 meV/atom
Energy above the most stable polymorph in this dataset = 0.23 eV/f.u.

a = 5.737 Å, b = 5.737 Å, c = 5.737 Å
α = 90.00°, β = 90.00°, γ = 90.00°
Fractional coordinates of all 5 atoms:
Na1 0.000 0.000 0.000
La1 0.000 0.500 0.500
La2 0.500 0.000 0.500
La3 0.500 0.500 0.000
Ir1 0.500 0.500 0.500



Record 7
Dy2TePd | PBE-GGA | optimized geometry

Output
Total energy = -5.31 eV/atom
ΔE_f (raw) = -0.920 eV per atom
Energy above the most stable polymorph in this dataset = 0.63 eV/f.u.

a = 3.723 Å, b = 3.723 Å, c = 7.070 Å
α = 90.00°, β = 90.00°, γ = 90.00°
Fractional coordinates of all 4 atoms:
Dy1 0.000 0.000 0.231
Dy2 0.000 0.000 0.769
Te1 0.500 0.500 0.500
Pd1 0.500 0.500 0.000



Record 8
Re2OsAu | PBE-GGA | optimized geometry

Output
Total energy = -9.14 eV/atom
E_form = 712 meV/atom
Energy above the most stable polymorph in this dataset = 1.84 eV/f.u.

a = 4.453 Å, b = 4.453 Å, c = 4.453 Å
α = 60.00°, β = 60.00°, γ = 60.00°
Fractional coordinates of all 4 atoms:
Re1 0.000 0.000 0.000
Re2 0.250 0.250 0.250
Os1 0.750 0.750 0.750
Au1 0.500 0.500 0.500



no.,DOS(E_F) (states/eV/cell)
1,3.13
2,0.66
3,1.81
4,4.19
5,2.77
6,4.31
7,3.07
8,3.76